{"formula": "AlCd2C", "functional": "SCAN", "state": "PBEsol geometry", "sg": "Fm-3m (225)", "n_ef_per_ev_atom": 0.414, "dft_energy_ev_per_atom": -18.317, "e_form_ev_per_fu": 5.414, "lattice_angstrom": [[0.000, 3.222, 3.222], [3.222, 0.000, 3.222], [3.222, 3.222, 0.000]], "species": ["Al", "Cd", "Cd", "C"], "frac_coords": [[0.000, 0.000, 0.000], [0.250, 0.250, 0.250], [0.750, 0.750, 0.750], [0.500, 0.500, 0.500]]}